This record from the Alexandria database describes crystalline MgCrPt2 at its relaxed geometry. The functional is GGA-PBE.

CIF file:
```
data_MgCrPt2
_cell_length_a 2.7759
_cell_length_b 4.7889
_cell_length_c 10.4259
_cell_angle_alpha 90.00
_cell_angle_beta 90.00
_cell_angle_gamma 90.00
_space_group_name_H-M_alt 'I m m m'
_space_group_IT_number 71
_space_group_name_Hall '-I 2 2'
loop_
_atom_site_label
_atom_site_fract_x
_atom_site_fract_y
_atom_site_fract_z
Mg1 0.0000 0.0000 0.0000
Cr1 0.0000 0.0000 0.5000
Pt1 0.0000 0.0000 0.2599
```

***

This record from the Alexandria database describes crystalline Mg3CrPt12 at its relaxed geometry. The functional is GGA-PBE.

CIF file:
```
data_Mg3CrPt12
_cell_length_a 3.9416
_cell_length_b 3.9416
_cell_length_c 15.8352
_cell_angle_alpha 90.00
_cell_angle_beta 90.00
_cell_angle_gamma 90.00
_space_group_name_H-M_alt 'P 4/m m m'
_space_group_IT_number 123
_space_group_name_Hall '-P 4 2'
loop_
_atom_site_label
_atom_site_fract_x
_atom_site_fract_y
_atom_site_fract_z
Mg1 0.0000 0.0000 0.0000
Mg2 0.0000 0.0000 0.2504
Cr1 0.0000 0.0000 0.5000
Pt1 0.0000 0.5000 0.1256
Pt2 0.0000 0.5000 0.3789
Pt3 0.5000 0.5000 0.0000
Pt4 0.5000 0.5000 0.2519
Pt5 0.5000 0.5000 0.5000
```

***

This record from the Alexandria database describes crystalline MgCrPt at its relaxed geometry. The functional is GGA-PBE.

CIF file:
```
data_MgCrPt
_cell_length_a 4.7169
_cell_length_b 4.8148
_cell_length_c 5.2345
_cell_angle_alpha 102.76
_cell_angle_beta 104.12
_cell_angle_gamma 118.93
_space_group_name_H-M_alt 'P -1'
_space_group_IT_number 2
_space_group_name_Hall '-P 1'
loop_
_atom_site_label
_atom_site_fract_x
_atom_site_fract_y
_atom_site_fract_z
Mg1 0.2129 0.3224 0.2278
Cr1 0.4890 0.0628 0.8405
Pt1 0.0824 0.3126 0.6958
```

***

This record from the Alexandria database describes crystalline MgCrPt at its relaxed geometry. The functional is GGA-PBE.

CIF file:
```
data_MgCrPt
_cell_length_a 4.6304
_cell_length_b 14.2505
_cell_length_c 2.7675
_cell_angle_alpha 90.00
_cell_angle_beta 95.42
_cell_angle_gamma 90.00
_space_group_name_H-M_alt 'C 1 2/m 1'
_space_group_IT_number 12
_space_group_name_Hall '-C 2y'
loop_
_atom_site_label
_atom_site_fract_x
_atom_site_fract_y
_atom_site_fract_z
Mg1 0.0000 0.1902 0.0000
Cr1 0.2018 0.0000 0.9223
Pt1 0.0000 0.3674 0.5000
```

***

This record from the Alexandria database describes crystalline MgCrPt at its relaxed geometry. The functional is GGA-PBE.

CIF file:
```
data_MgCrPt
_cell_length_a 4.0798
_cell_length_b 4.3989
_cell_length_c 5.5827
_cell_angle_alpha 93.53
_cell_angle_beta 91.29
_cell_angle_gamma 115.35
_space_group_name_H-M_alt 'P 1'
_space_group_IT_number 1
_space_group_name_Hall 'P 1'
loop_
_atom_site_label
_atom_site_fract_x
_atom_site_fract_y
_atom_site_fract_z
Mg1 0.0000 0.0000 0.0000
Mg2 0.3234 0.6788 0.6824
Cr1 0.3527 0.6445 0.2065
Cr2 0.6332 0.3968 0.3226
Pt1 0.0040 0.0255 0.4826
Pt2 0.6631 0.3408 0.8513
```

***

This record from the Alexandria database describes crystalline MgCrPt at its relaxed geometry. The functional is GGA-PBE.

CIF file:
```
data_MgCrPt
_cell_length_a 4.4462
_cell_length_b 4.4462
_cell_length_c 2.9294
_cell_angle_alpha 90.00
_cell_angle_beta 90.00
_cell_angle_gamma 120.00
_space_group_name_H-M_alt 'P 3 m 1'
_space_group_IT_number 156
_space_group_name_Hall 'P 3 -2"'
loop_
_atom_site_label
_atom_site_fract_x
_atom_site_fract_y
_atom_site_fract_z
Mg1 0.0000 0.0000 0.0000
Cr1 0.6667 0.3333 0.5012
Pt1 0.3333 0.6667 0.4984
```

***

This record from the Alexandria database describes crystalline MgCrPt at its relaxed geometry. The functional is GGA-PBE.

CIF file:
```
data_MgCrPt
_cell_length_a 4.5111
_cell_length_b 7.7999
_cell_length_c 5.0758
_cell_angle_alpha 90.00
_cell_angle_beta 90.00
_cell_angle_gamma 90.00
_space_group_name_H-M_alt 'C m c m'
_space_group_IT_number 63
_space_group_name_Hall '-C 2c 2'
loop_
_atom_site_label
_atom_site_fract_x
_atom_site_fract_y
_atom_site_fract_z
Mg1 0.0000 0.1663 0.2500
Cr1 0.0000 0.5000 0.0000
Pt1 0.0000 0.1674 0.7500
```

***

This record from the Alexandria database describes crystalline Mg2CrPt at its relaxed geometry. The functional is GGA-PBE.

CIF file:
```
data_Mg2CrPt
_cell_length_a 2.8673
_cell_length_b 2.8673
_cell_length_c 8.1873
_cell_angle_alpha 90.00
_cell_angle_beta 90.00
_cell_angle_gamma 90.00
_space_group_name_H-M_alt 'P 4 m m'
_space_group_IT_number 99
_space_group_name_Hall 'P 4 -2'
loop_
_atom_site_label
_atom_site_fract_x
_atom_site_fract_y
_atom_site_fract_z
Mg1 0.0000 0.0000 0.0000
Mg2 0.5000 0.5000 0.3232
Cr1 0.5000 0.5000 0.7602
Pt1 0.0000 0.0000 0.5584
```

***

Number 1: E_form 276 meV per atom, raw total energy -44.390 eV per cell. Number 2: E_form -525 meV per atom, raw total energy -95.289 eV per cell. Number 3: E_form -132 meV per atom, raw total energy -35.310 eV per cell. Number 4: E_form -265 meV per atom, raw total energy -72.213 eV per cell. Number 5: E_form -162 meV per atom, raw total energy -35.487 eV per cell. Number 6: E_form -126 meV per atom, raw total energy -17.637 eV per cell. Number 7: E_form 13 meV per atom, raw total energy -68.874 eV per cell. Number 8: E_form -67 meV per atom, raw total energy -19.123 eV per cell.